Entry from Alexandria via LeMat-Bulk: V4ReTc after structural relaxation (GGA-PBE).

Cell: 4.1228 4.1228 5.8666 Å, 90.00 90.00 90.00°
Last column: nearest neighbours and their distance in Å.
Space group P4/mmm (No. 123)
Unique sites:
V (0.0000, 0.5000, 0.2493)  2 Tc 2.53, 2 Re 2.53
Re (0.0000, 0.0000, 0.5000)  8 V 2.53
Tc (0.5000, 0.5000, 0.0000)  8 V 2.53

Computed properties:
**Mass density**: 8.126 g/cm³
**ΔH_f (0 K)**: 477.9 meV per atom

Entry from Alexandria via LeMat-Bulk: Ce2HoN2Cl2 after structural relaxation (GGA-PBE).

Cell: 4.4880 4.4880 14.7006 Å, 90.00 90.00 90.00°
Last column: nearest neighbours and their distance in Å.
Space group I4/mmm (No. 139)
Unique sites:
Ce (0.0000, 0.0000, 0.0989)  4 N 2.67, 1 Ce 2.91
Ho (0.0000, 0.0000, 0.5000)  4 N 2.24
N (0.0000, 0.5000, 0.0000)  2 Ho 2.24
Cl (0.0000, 0.0000, 0.3114)  1 Ho 2.77

Computed properties:
**Mass density**: 6.102 g/cm³
**E_form (uncorrected)**: -1.51 eV/atom

Entry from Alexandria via LeMat-Bulk: MnCu2HAu after structural relaxation (GGA-PBE).

Cell: 3.9286 3.9286 3.8230 Å, 90.00 90.00 90.00°
Last column: nearest neighbours and their distance in Å.
Space group P4/mmm (No. 123)
Unique sites:
Mn (0.0000, 0.0000, 0.0000)  2 H 1.91
Cu (0.0000, 0.5000, 0.5000)  2 H 1.96
H (0.0000, 0.0000, 0.5000)  2 Mn 1.91, 4 Cu 1.96
Au (0.5000, 0.5000, 0.0000)  8 Cu 2.74, 4 Mn 2.78

Computed properties:
**Final energy**: -4.73 eV/atom
**Mass density**: 10.694 g/cm³

Entry from Alexandria via LeMat-Bulk: RbZr2TlPt after structural relaxation (GGA-PBE).

Cell: 5.0068 5.0068 5.4881 Å, 90.00 90.00 90.00°
Last column: nearest neighbours and their distance in Å.
Space group P4/mmm (No. 123)
Unique sites:
Rb (0.0000, 0.0000, 0.0000)  4 Zr 2.50, 2 Tl 2.74
Zr (0.0000, 0.5000, 0.0000)  2 Rb 2.50
Tl (0.0000, 0.0000, 0.5000)  2 Rb 2.74
Pt (0.5000, 0.5000, 0.5000)  4 Tl 3.54, 8 Zr 3.71

Computed properties:
**Mass density**: 8.055 g/cm³
**ΔH_f (0 K)**: 2126.1 meV per atom

Entry from Alexandria via LeMat-Bulk: CoSn2Rh after structural relaxation (GGA-PBE).

Cell: 3.0951 3.0951 27.1676 Å, 90.00 90.00 120.00°
Last column: nearest neighbours and their distance in Å.
Space group R-3m (No. 166, hexagonal axes)
Unique sites:
Co (0.0000, 0.0000, 0.0000)  6 Sn 2.65
Sn (0.0000, 0.0000, 0.4051)  1 Rh 2.58, 3 Co 2.65
Rh (0.0000, 0.0000, 0.5000)  2 Sn 2.58

Computed properties:
**Mass density**: 8.825 g/cm³
**ΔH_f (0 K)**: 283.5 meV per atom

Entry from Alexandria via LeMat-Bulk: Er2Co5NiB2 after structural relaxation (GGA-PBE).

Cell: 8.8660 8.8660 3.0572 Å, 90.00 90.00 90.00°
Last column: nearest neighbours and their distance in Å.
Space group P4/mbm (No. 127)
Unique sites:
Er (0.1781, 0.3219, 0.0000)  3 B 2.56-2.68, 10 Co 2.71-2.80
Co (0.0000, 0.5000, 0.5000)  4 B 2.13
Co (0.0675, 0.7759, 0.5000)  2 B 2.12
Ni (0.0000, 0.0000, 0.0000)  8 Co 2.58
B (0.1180, 0.6180, 0.0000)  6 Co 2.12-2.13

Computed properties:
**Mass density**: 9.805 g/cm³
**ΔH_f (0 K)**: -270.2 meV per atom

Entry from Alexandria via LeMat-Bulk: AlSbAs after structural relaxation (GGA-PBE).

Cell: 4.1788 5.0877 7.8190 Å, 79.29 78.90 82.42°
Last column: nearest neighbours and their distance in Å.
Space group P1 (No. 1)
Unique sites:
Al (0.0000, 0.0000, 0.0000)  3 As 2.49-2.52
Al (0.3979, 0.4166, 0.2923)  3 As 2.51-2.52, 1 Sb 2.73
Sb (0.2544, 0.7429, 0.5424)  1 Al 2.73, 1 Sb 2.89, 1 As 2.89
Sb (0.7621, 0.4147, 0.7545)  1 As 2.68, 1 Al 2.79, 1 Sb 2.89
As (0.5401, 0.7232, 0.0038)  3 Al 2.50-2.52, 1 Sb 2.68
As (0.9410, 0.1383, 0.2941)  3 Al 2.49-2.52

Computed properties:
**Mass density**: 4.657 g/cm³
**E_form (uncorrected)**: -0.13 eV/atom

Entry from Alexandria via LeMat-Bulk: SmMgZnPd after structural relaxation (GGA-PBE).

Cell: 6.8882 6.8882 6.8882 Å, 90.00 90.00 90.00°
Last column: nearest neighbours and their distance in Å.
Space group F-43m (No. 216)
Unique sites:
Sm (0.0000, 0.0000, 0.0000)  4 Pd 2.98, 4 Zn 2.98
Mg (0.0000, 0.0000, 0.5000)  4 Pd 2.98, 4 Zn 2.98
Zn (0.2500, 0.2500, 0.7500)  4 Mg 2.98, 4 Sm 2.98
Pd (0.2500, 0.2500, 0.2500)  4 Mg 2.98, 4 Sm 2.98

Computed properties:
**Mass density**: 7.042 g/cm³
**ΔH_f (0 K)**: -512.6 meV per atom

Entry from Alexandria via LeMat-Bulk: CdSi2Rh after structural relaxation (GGA-PBE).

Cell: 2.7996 4.7247 10.3847 Å, 90.00 90.00 90.00°
Last column: nearest neighbours and their distance in Å.
Space group Immm (No. 71)
Unique sites:
Cd (0.0000, 0.0000, 0.0000)  4 Rh 2.75, 2 Cd 2.80
Si (0.0000, 0.5000, 0.1988)  2 Rh 2.49
Rh (0.0000, 0.0000, 0.5000)  4 Si 2.49, 4 Cd 2.75

Computed properties:
**Mass density**: 6.564 g/cm³
**E_form (uncorrected)**: 0.03 eV/atom

Entry from Alexandria via LeMat-Bulk: CaVS after structural relaxation (GGA-PBE).

Cell: 10.9230 3.4503 7.4968 Å, 90.00 121.68 90.00°
Last column: nearest neighbours and their distance in Å.
Space group Cm (No. 8)
Unique sites:
Ca (0.0000, 0.0000, 0.0000)  4 S 2.83-2.88, 1 V 3.05
Ca (0.1208, 0.0000, 0.6613)  5 S 2.82-3.02
V (0.2570, 0.5000, 0.3912)  1 V 1.89
V (0.3169, 0.5000, 0.1968)  1 V 1.89
S (0.0074, 0.5000, 0.3132)  3 V 2.47-2.48
S (0.3891, 0.0000, 0.6486)  2 V 2.42

Computed properties:
**Mass density**: 3.400 g/cm³
**E_form (uncorrected)**: -0.75 eV/atom

Entry from Alexandria via LeMat-Bulk: BeHgW2 after structural relaxation (GGA-PBE).

Cell: 2.7656 4.1867 5.4878 Å, 90.00 97.34 90.00°
Last column: nearest neighbours and their distance in Å.
Space group P2/m (No. 10)
Unique sites:
Be (0.0000, 0.0000, 0.0000)  4 W 2.63, 2 Hg 2.74, 2 Be 2.77
Hg (0.0000, 0.0000, 0.5000)  2 Be 2.74, 2 Hg 2.77, 8 W 2.93-2.95
W (0.4360, 0.5000, 0.2185)  1 W 2.47, 2 Be 2.63

Computed properties:
**Mass density**: 15.211 g/cm³
**ΔH_f (0 K)**: 609.2 meV per atom

Entry from Alexandria via LeMat-Bulk: BaThAg after structural relaxation (GGA-PBE).

Cell: 16.3896 3.8323 6.6247 Å, 90.00 90.00 90.00°
Last column: nearest neighbours and their distance in Å.
Space group Amm2 (No. 38)
Unique sites:
Ba (0.1591, 0.0000, 0.0000)  3 Ag 3.42
Th (0.3612, 0.0000, 0.6648)  3 Ag 3.17
Ag (0.0000, 0.0000, 0.3344)  6 Ba 3.42
Ag (0.5000, 0.0000, 0.3308)  6 Th 3.17

Computed properties:
**Mass density**: 7.618 g/cm³
**ΔH_f (0 K)**: 242.6 meV per atom

What did the tenth record say?
Entry from Alexandria via LeMat-Bulk: CaVS after structural relaxation (GGA-PBE).

Cell: 10.9230 3.4503 7.4968 Å, 90.00 121.68 90.00°
Last column: nearest neighbours and their distance in Å.
Space group Cm (No. 8)
Unique sites:
Ca (0.0000, 0.0000, 0.0000)  4 S 2.83-2.88, 1 V 3.05
Ca (0.1208, 0.0000, 0.6613)  5 S 2.82-3.02
V (0.2570, 0.5000, 0.3912)  1 V 1.89
V (0.3169, 0.5000, 0.1968)  1 V 1.89
S (0.0074, 0.5000, 0.3132)  3 V 2.47-2.48
S (0.3891, 0.0000, 0.6486)  2 V 2.42

Computed properties:
**Mass density**: 3.400 g/cm³
**E_form (uncorrected)**: -0.75 eV/atom

Q: Look up the mass density of the twelfth one.
A: 7.618 g/cm³